[1]
Density functional theory data (PBEsol) for a relaxed Ba2ZnBr crystal.

```
Ba2ZnBr
1.0
4.680 0.000 0.000
0.000 4.692 0.000
0.000 0.000 6.738
Ba Zn Br
2 1 1
Direct
0.000 0.000 0.000
0.500 0.500 0.500
0.000 0.000 0.500
0.500 0.500 0.000
```

- offset from the most stable computed form (meV per atom) = 0
- ΔE_f (raw) (eV per atom) = -0.8186
- E_tot (eV/atom) = -2.756
- crystal system = orthorhombic
- SG = Pmmm

---

[2]
Density functional theory data (PBEsol) for a relaxed Rb2TmCuCl6 crystal.

```
Rb2TmCuCl6
1.0
0.000 5.047 5.047
5.047 0.000 5.047
5.047 5.047 0.000
Rb Tm Cu Cl
2 1 1 6
Direct
0.250 0.250 0.250
0.750 0.750 0.750
0.000 0.000 0.000
0.500 0.500 0.500
0.254 0.254 0.746
0.254 0.746 0.254
0.254 0.746 0.746
0.746 0.254 0.254
0.746 0.254 0.746
0.746 0.746 0.254
```

- ΔE_f (raw) (eV per atom) = -1.7745
- E_tot (eV/atom) = -4.108
- crystal system = cubic
- SG = Fm-3m

---

[3]
Density functional theory data (PBEsol) for a relaxed SmFeO3 crystal.

```
SmFeO3
1.0
5.497 0.000 0.000
0.000 7.510 0.000
0.000 0.000 5.261
Sm Fe O
4 4 12
Direct
0.062 0.250 0.015
0.438 0.750 0.515
0.562 0.250 0.485
0.938 0.750 0.985
0.000 0.000 0.500
0.000 0.500 0.500
0.500 0.000 0.000
0.500 0.500 0.000
0.016 0.750 0.420
0.206 0.543 0.796
0.206 0.957 0.796
0.294 0.043 0.296
0.294 0.457 0.296
0.484 0.250 0.920
0.516 0.750 0.080
0.706 0.543 0.704
0.706 0.957 0.704
0.794 0.043 0.204
0.794 0.457 0.204
0.984 0.250 0.580
```

- ΔE_f (raw) (eV per atom) = -2.4132
- E_tot (eV/atom) = -8.374
- crystal system = orthorhombic
- SG = Pnma